(1)
VASP calculation (GGA-PBE) on a geometry-optimized Cu2AsBr structure.

extended XYZ file:
```
4
Lattice="6.0217 -0.5601 0.4026 -0.9107 5.9787 -0.4026 -0.0881 -5.0366 3.3706" Properties=species:S:1:pos:R:3 pbc="T T T"
As 4.2445 -1.4437 1.8866
Br 0.7784 1.8257 1.4840
Cu 5.0321 5.3349 0.0000
Cu 2.6344 2.7929 0.0000
```

Summary:
**Space-group type**: Immm
**Theoretical density**: 4.3 g/cm3
**Volume**: 109.5 Å³/f.u.
**Energy relative to the elements, uncorrected**: 0.2634 eV per atom
**N(E_F)**: 1.276 states/eV/cell

=====

(2)
VASP calculation (GGA-PBE) on a geometry-optimized CuAsBr4 structure.

extended XYZ file:
```
6
Lattice="-3.4490 -5.0759 1.0035 -5.4533 0.4796 2.9494 -5.3102 -0.8195 -3.1300" Properties=species:S:1:pos:R:3 pbc="T T T"
Cu -10.6594 -4.0618 0.6172
As 0.0000 0.0000 0.0000
Br -7.0545 -4.5579 0.8080
Br -7.9796 -2.4422 -1.2466
Br -8.0507 -1.7965 1.7752
Br -5.3401 -2.0349 0.3092
```

Summary:
**Space-group type**: F-43m
**Theoretical density**: 4.5 g/cm3
**Volume**: 170.0 Å³/f.u.
**Energy relative to the elements, uncorrected**: 1.0723 eV per atom
**N(E_F)**: 7.031 states/eV/cell

=====

(3)
VASP calculation (GGA-PBE) on a geometry-optimized CuAs2Br2 structure.

extended XYZ file:
```
10
Lattice="6.9056 0.0000 0.0000 0.0000 6.9056 0.0000 0.0000 0.0000 5.6738" Properties=species:S:1:pos:R:3 pbc="T T T"
As 0.8129 4.2657 2.8369
As 4.2657 6.0927 2.8369
As 6.0927 2.6399 2.8369
As 2.6399 0.8129 2.8369
Cu 0.0000 0.0000 0.0000
Cu 3.4528 3.4528 0.0000
Br 1.1942 4.6470 0.0000
Br 4.6470 5.7114 0.0000
Br 5.7114 2.2586 0.0000
Br 2.2586 1.1942 0.0000
```

Summary:
**Space-group type**: P4/mbm
**Theoretical density**: 4.6 g/cm3
**Volume**: 135.3 Å³/f.u.
**Energy relative to the elements, uncorrected**: 0.2374 eV per atom
**N(E_F)**: 3.966 states/eV/cell

=====

(4)
VASP calculation (GGA-PBE) on a geometry-optimized CuAsBr2 structure.

extended XYZ file:
```
4
Lattice="-0.1215 0.9886 3.5228 -2.8979 0.1918 -2.2288 -2.1138 -7.6945 2.0863" Properties=species:S:1:pos:R:3 pbc="T T T"
As -3.0950 -5.1807 2.2117
Br -0.0806 -0.2933 0.0795
Br -0.9763 -3.5539 0.9636
Cu -2.0382 -1.3335 1.1686
```

Summary:
**Space-group type**: Cmmm
**Theoretical density**: 5.3 g/cm3
**Volume**: 92.6 Å³/f.u.
**Energy relative to the elements, uncorrected**: 0.2404 eV per atom
**N(E_F)**: 1.382 states/eV/cell

=====

(5)
VASP calculation (GGA-PBE) on a geometry-optimized CuAsBr structure.

extended XYZ file:
```
3
Lattice="4.4794 0.0000 0.0000 2.2397 3.8793 0.0000 2.2397 1.2931 3.6574" Properties=species:S:1:pos:R:3 pbc="T T T"
As 0.0000 0.0000 0.0000
Br 4.4794 2.5862 1.8287
Cu 6.7191 3.8793 2.7431
```

Summary:
**Space-group type**: F-43m
**Theoretical density**: 5.7 g/cm3
**Volume**: 63.6 Å³/f.u.
**Energy relative to the elements, uncorrected**: 0.5524 eV per atom
**N(E_F)**: 3.395 states/eV/cell

=====

(6)
VASP calculation (GGA-PBE) on a geometry-optimized Cu2AsBr structure.

extended XYZ file:
```
4
Lattice="-2.1284 -0.7589 2.7378 0.8778 -2.9618 -0.1385 6.0349 0.5234 4.8367" Properties=species:S:1:pos:R:3 pbc="T T T"
As 2.7942 -1.7510 1.6869
Br 4.7492 -2.5211 5.2947
Cu 1.0213 -2.2474 0.1710
Cu 0.5538 -0.8587 2.4939
```

Summary:
**Space-group type**: Pm
**Theoretical density**: 5.5 g/cm3
**Volume**: 84.4 Å³/f.u.
**Energy relative to the elements, uncorrected**: 0.0416 eV per atom
**N(E_F)**: 0.933 states/eV/cell

=====

(7)
VASP calculation (GGA-PBE) on a geometry-optimized CuAsBr2 structure.

extended XYZ file:
```
4
Lattice="-1.9869 -3.4258 -0.5728 1.1922 -3.0375 -2.3160 3.9806 -4.2853 6.3052" Properties=species:S:1:pos:R:3 pbc="T T T"
As 1.2433 -2.1497 1.7886
Br 0.1423 -1.1093 0.0124
Br 1.9086 -8.1863 1.6575
Cu 1.4847 -4.6776 1.6660
```

Summary:
**Space-group type**: Cm
**Theoretical density**: 4.5 g/cm3
**Volume**: 111.1 Å³/f.u.
**Energy relative to the elements, uncorrected**: -0.1871 eV per atom
**N(E_F)**: 1.775 states/eV/cell

=====

(8)
VASP calculation (GGA-PBE) on a geometry-optimized CuAsBr6 structure.

extended XYZ file:
```
8
Lattice="5.6769 0.4645 0.0210 3.1013 8.2892 0.9550 2.8635 3.9391 6.3456" Properties=species:S:1:pos:R:3 pbc="T T T"
Cu 5.8208 6.3464 3.6608
As 0.0000 0.0000 0.0000
Br 4.0881 6.1657 5.3195
Br 6.7699 4.2821 4.2814
Br 4.6149 2.5072 1.2019
Br 4.8717 8.4107 3.0402
Br 7.5535 6.5271 2.0021
Br 7.0267 10.1856 6.1197
```

Summary:
**Space-group type**: P-1
**Theoretical density**: 3.8 g/cm3
**Volume**: 269.1 Å³/f.u.
**Energy relative to the elements, uncorrected**: -0.1936 eV per atom
**N(E_F)**: 0.613 states/eV/cell

=====

(9)
VASP calculation (GGA-PBE) on a geometry-optimized CuAsBr2 structure.

extended XYZ file:
```
4
Lattice="1.0987 0.5869 4.7574 -1.8283 3.8251 2.4921 -3.4515 -0.7218 3.4279" Properties=species:S:1:pos:R:3 pbc="T T T"
As -2.0906 1.8451 5.3387
Cu 0.0000 0.0000 0.0000
Br -1.0453 0.9226 2.6694
Br -3.1358 2.7677 8.0081
```

Summary:
**Space-group type**: Fm-3m
**Theoretical density**: 5.9 g/cm3
**Volume**: 84.1 Å³/f.u.
**Energy relative to the elements, uncorrected**: 0.5768 eV per atom
**N(E_F)**: 3.433 states/eV/cell

=====

(10)
VASP calculation (GGA-PBE) on a geometry-optimized Cu2AsBr structure.

extended XYZ file:
```
4
Lattice="7.9936 1.1779 0.0000 5.8061 5.6190 0.0000 -6.8998 -3.3985 2.4753" Properties=species:S:1:pos:R:3 pbc="T T T"
As 6.8998 3.3985 0.0000
Br 3.9968 0.5890 1.2376
Cu 0.0000 0.0000 0.0000
Cu 2.9031 2.8095 1.2376
```

Summary:
**Space-group type**: I-4m2
**Theoretical density**: 5.0 g/cm3
**Volume**: 94.2 Å³/f.u.
**Energy relative to the elements, uncorrected**: 0.3320 eV per atom
**N(E_F)**: 2.950 states/eV/cell

=====

(11)
VASP calculation (GGA-PBE) on a geometry-optimized CuAsBr2 structure.

extended XYZ file:
```
4
Lattice="-1.1749 1.8691 7.3394 0.7390 -0.9471 7.5695 3.4543 2.4060 0.7153" Properties=species:S:1:pos:R:3 pbc="T T T"
As 0.7546 0.8320 3.9061
Br 3.2574 2.4041 2.3289
Br 1.7060 1.6659 6.1986
Cu 2.2637 2.4960 11.7182
```

Summary:
**Space-group type**: C2/m
**Theoretical density**: 4.6 g/cm3
**Volume**: 107.1 Å³/f.u.
**Energy relative to the elements, uncorrected**: 0.0533 eV per atom
**N(E_F)**: 1.246 states/eV/cell

=====

(12)
VASP calculation (GGA-PBE) on a geometry-optimized CuAsBr structure.

extended XYZ file:
```
3
Lattice="-1.2807 2.3008 2.4450 2.1190 -2.7152 1.0245 4.3923 3.1702 -0.6826" Properties=species:S:1:pos:R:3 pbc="T T T"
As 4.0956 2.9561 -0.6365
Br 2.6829 0.1817 1.2343
Cu 2.8444 2.7883 1.5066
```

Summary:
**Space-group type**: P3m1
**Theoretical density**: 5.9 g/cm3
**Volume**: 61.1 Å³/f.u.
**Energy relative to the elements, uncorrected**: 0.1429 eV per atom
**N(E_F)**: 2.293 states/eV/cell

=====

no.,E (eV for the cell shown),total magnetic moment (μB per cell)
1,-13.46,0.0
2,-9.00,2.1
3,-31.11,0.0
4,-11.13,0.0
5,-8.76,0.0
6,-14.35,0.0
7,-12.84,0.0
8,-20.33,0.0
9,-9.78,0.0
10,-13.19,0.3
11,-11.88,0.0
12,-9.99,0.0